Record 1
Material: EuCu4Rh
Method: DFT, PBE
State: relaxed

```
EuCu4Rh
1.0
0.000 3.567 3.567
3.567 0.000 3.567
3.567 3.567 0.000
Eu Cu Rh
1 4 1
direct
0.000 0.000 0.000
0.376 0.376 0.376
0.376 0.376 0.871
0.376 0.871 0.376
0.871 0.376 0.376
0.750 0.750 0.750
```

**D(E_F)**: 1.868 states/eV per atom
**SG**: No. 216


Record 2
Material: SrEuCuRh
Method: DFT, PBE
State: relaxed

```
SrEuCuRh
1.0
0.000 3.633 3.633
3.633 0.000 3.633
3.633 3.633 0.000
Sr Eu Cu Rh
1 1 1 1
direct
0.000 0.000 0.000
0.500 0.500 0.500
0.250 0.250 0.250
0.750 0.750 0.750
```

**D(E_F)**: 3.373 states/eV per atom
**SG**: No. 216


| no. | energy relative to the elements (meV per atom) |
| --- | --- |
| 1 | -81 |
| 2 | -134 |